1.
A plane-wave DFT calculation with PBE was carried out for crystalline SmDy5Ho12 at its relaxed geometry.

Properties
E_tot: -4.5726 eV per atom
Energy of formation from the pure elements: 20 meV/atom

Geometry as POSCAR:
```
SmDy5Ho12
1.0
7.4853 -7.5038 0.0000
7.4853 7.5038 0.0000
0.0000 0.0000 4.9948
Sm Dy Ho
1 5 12
Direct
0.0000 0.0000 0.0000 Sm
0.1674 0.8326 0.5000 Dy
0.3335 0.6665 0.0000 Dy
0.5000 0.5000 0.5000 Dy
0.6665 0.3335 0.0000 Dy
0.8326 0.1674 0.5000 Dy
0.0002 0.3344 0.0000 Ho
0.9998 0.6656 0.0000 Ho
0.1669 0.4998 0.5000 Ho
0.1677 0.1677 0.5000 Ho
0.3333 0.3333 0.0000 Ho
0.3344 0.0002 0.0000 Ho
0.4998 0.1669 0.5000 Ho
0.5002 0.8331 0.5000 Ho
0.6656 0.9998 0.0000 Ho
0.6667 0.6667 0.0000 Ho
0.8323 0.8323 0.5000 Ho
0.8331 0.5002 0.5000 Ho
```

---

2.
A plane-wave DFT calculation with PBE was carried out for crystalline Sm12DyHo3 at its relaxed geometry.

Properties
E_tot: -4.6689 eV per atom
Energy of formation from the pure elements: 16 meV/atom

Geometry as POSCAR:
```
Sm12DyHo3
1.0
5.0955 0.0000 0.0000
0.0000 5.0955 0.0000
0.0000 0.0000 20.3538
Sm Dy Ho
12 1 3
Direct
0.0000 0.0000 0.0000 Sm
0.0000 0.0000 0.2502 Sm
0.0000 0.0000 0.5000 Sm
0.0000 0.0000 0.7498 Sm
0.0000 0.5000 0.1251 Sm
0.0000 0.5000 0.3751 Sm
0.0000 0.5000 0.6249 Sm
0.0000 0.5000 0.8749 Sm
0.5000 0.0000 0.1251 Sm
0.5000 0.0000 0.3751 Sm
0.5000 0.0000 0.6249 Sm
0.5000 0.0000 0.8749 Sm
0.5000 0.5000 0.0000 Dy
0.5000 0.5000 0.2502 Ho
0.5000 0.5000 0.5000 Ho
0.5000 0.5000 0.7498 Ho
```

---

3.
A plane-wave DFT calculation with PBE was carried out for crystalline Sm3Dy4Ho5 at its relaxed geometry.

Properties
E_tot: -4.6043 eV per atom
Energy of formation from the pure elements: 17 meV/atom

Geometry as POSCAR:
```
Sm3Dy4Ho5
1.0
6.1546 0.0000 0.0000
-0.0199 7.1093 0.0000
-0.0198 -0.0040 8.7010
Sm Dy Ho
3 4 5
Direct
0.0000 0.0000 0.0000 Sm
0.1666 0.7498 0.6664 Sm
0.8334 0.2502 0.3336 Sm
0.1678 0.2508 0.6668 Dy
0.3331 0.4999 0.3326 Dy
0.6669 0.5001 0.6674 Dy
0.8322 0.7492 0.3332 Dy
0.0000 0.5000 0.0000 Ho
0.3343 0.9998 0.3327 Ho
0.4993 0.2505 0.0000 Ho
0.5007 0.7495 0.0000 Ho
0.6657 0.0002 0.6673 Ho
```

---

4.
A plane-wave DFT calculation with PBE was carried out for crystalline Sm5Dy2Ho12 at its relaxed geometry.

Properties
E_tot: -4.4952 eV per atom
Energy of formation from the pure elements: 122 meV/atom

Geometry as POSCAR:
```
Sm5Dy2Ho12
1.0
7.7696 -4.6259 0.0000
7.7696 4.6259 0.0000
-0.3347 0.0000 8.5941
Sm Dy Ho
5 2 12
Direct
0.0000 0.0000 0.0000 Sm
0.2308 0.2308 0.0714 Sm
0.2931 0.2931 0.4796 Sm
0.7069 0.7069 0.5204 Sm
0.7692 0.7692 0.9286 Sm
0.3269 0.6731 0.5000 Dy
0.6731 0.3269 0.5000 Dy
0.0310 0.6726 0.2603 Ho
0.0737 0.0737 0.3748 Ho
0.1795 0.5612 0.8311 Ho
0.3274 0.9690 0.7397 Ho
0.4388 0.8205 0.1689 Ho
0.4434 0.4434 0.1641 Ho
0.5566 0.5566 0.8359 Ho
0.5612 0.1795 0.8311 Ho
0.6726 0.0310 0.2603 Ho
0.8205 0.4388 0.1689 Ho
0.9263 0.9263 0.6252 Ho
0.9690 0.3274 0.7397 Ho
```

---

5.
A plane-wave DFT calculation with PBE was carried out for crystalline Sm2Dy4Ho7 at its relaxed geometry.

Properties
E_tot: -4.4284 eV per atom
Energy of formation from the pure elements: 179 meV/atom

Geometry as POSCAR:
```
Sm2Dy4Ho7
1.0
6.0445 0.0000 0.0000
-3.0222 5.2347 0.0000
0.0000 0.0000 13.3043
Sm Dy Ho
2 4 7
Direct
0.3333 0.6667 0.0000 Sm
0.6667 0.3333 0.0000 Sm
0.0000 0.0000 0.3946 Dy
0.0000 0.0000 0.6054 Dy
0.3333 0.6667 0.5000 Dy
0.6667 0.3333 0.5000 Dy
0.0000 0.0000 0.0000 Ho
0.0000 0.3527 0.2157 Ho
0.0000 0.6473 0.7843 Ho
0.3527 0.0000 0.2157 Ho
0.3527 0.3527 0.7843 Ho
0.6473 0.0000 0.7843 Ho
0.6473 0.6473 0.2157 Ho
```

---

6.
A plane-wave DFT calculation with PBE was carried out for crystalline Sm4DyHo4 at its relaxed geometry.

Properties
E_tot: -4.6241 eV per atom
Energy of formation from the pure elements: 19 meV/atom

Geometry as POSCAR:
```
Sm4DyHo4
1.0
-5.3612 5.3612 2.5215
5.3612 -5.3612 2.5215
5.3612 5.3612 -2.5215
Sm Dy Ho
4 1 4
Direct
0.0000 0.3315 0.3315 Sm
0.0000 0.6685 0.6685 Sm
0.3315 0.0000 0.3315 Sm
0.6685 0.0000 0.6685 Sm
0.0000 0.0000 0.0000 Dy
0.3339 0.3339 0.6678 Ho
0.3339 0.6661 0.0000 Ho
0.6661 0.3339 0.0000 Ho
0.6661 0.6661 0.3322 Ho
```